No. 1
This record from Alexandria describes crystalline SmGa3PdRh at its relaxed geometry. The functional is PBE-GGA.

Summary:
Energy of formation in eV/atom: -0.472

a b c (Å): 7.946 10.885 5.880
angles (deg): 90.00 90.00 90.00
Space group Cmcm (No. 63)
One atom of each set of equivalent atoms:
Sm1 0.000 0.238 0.250 [4 per cell]
Ga1 0.000 0.253 0.750 [4 per cell]
Ga2 0.246 0.000 0.000 [8 per cell]
Pd1 0.000 0.473 0.750 [4 per cell]
Rh1 0.000 0.036 0.750 [4 per cell]



No. 2
This record from Alexandria describes crystalline ZrHgSe2 at its relaxed geometry. The functional is PBE-GGA.

Summary:
Formation energy without anion corrections in eV per atom: -0.6258

a b c (Å): 7.883 7.177 6.564
angles (deg): 90.00 90.00 90.00
Space group Cmc2_1 (No. 36)
One atom of each set of equivalent atoms:
Zr1 0.000 0.142 0.000 [4 per cell]
Hg1 0.000 0.481 0.665 [4 per cell]
Se1 0.199 0.144 0.351 [8 per cell]



No. 3
This record from Alexandria describes crystalline BaLiInSe3 at its relaxed geometry. The functional is PBE-GGA.

Summary:
Formation energy without anion corrections in eV per atom: -1.1066

a b c (Å): 7.147 13.656 7.218
angles (deg): 90.00 90.00 90.00
Space group Cmcm (No. 63)
One atom of each set of equivalent atoms:
Ba1 0.000 0.193 0.250 [4 per cell]
Li1 0.000 0.077 0.750 [4 per cell]
In1 0.000 0.451 0.750 [4 per cell]
Se1 0.000 0.260 0.750 [4 per cell]
Se2 0.235 0.000 0.000 [8 per cell]